Here is TeO3 at its PBEsol-relaxed geometry from the Alexandria database. Energies are from meta-GGA SCAN.

The structure belongs to space group R-3c (No. 167, hexagonal axes); the cell edges are 4.9650, 4.9650 and 13.1332 Å and the angles 90.00°, 90.00° and 120.00°. Symmetry generates all atoms from Te at (0.0000, 0.0000, 0.0000) and O at (0.0000, 0.3592, 0.2500).

The value obtained for the total energy is -358.52 eV for the cell shown. For the formation energy from raw total energies, the calculation gives -0.95 eV/atom. The value obtained for the density of states at the Fermi level is 0.000 states/eV/cell.